A relaxed structure of WC2. Source: Alexandria, functional PBEsol.

ΔE to the lowest computed polymorph	864	meV/atom
density of states at the Fermi level	0.97	states/eV per cell
DFT formation energy	1.367	eV per atom

a b c (Å): 4.8463 4.8463 4.8463
angles (deg): 39.18 39.18 39.18
Fractional coordinates of all 3 atoms:
1 W 0.0000 0.0000 0.0000
2 C 0.2692 0.2692 0.2692
3 C 0.3963 0.3963 0.3963

---

A relaxed structure of NaNb3Se. Source: Alexandria, functional PBEsol.

energy relative to the elements, uncorrected	0.854	eV per atom
density of states at the Fermi level	8.02	states/eV per cell

a b c (Å): 4.7996 4.7996 4.7996
angles (deg): 90.00 90.00 90.00
Fractional coordinates of all 5 atoms:
1 Na 0.0000 0.0000 0.0000
2 Nb 0.0000 0.5000 0.5000
3 Nb 0.5000 0.0000 0.5000
4 Nb 0.5000 0.5000 0.0000
5 Se 0.5000 0.5000 0.5000

---

A relaxed structure of KYB4H16. Source: Alexandria, functional PBEsol.

calculated total energy	-4.3351	eV per atom
density of states at the Fermi level	0.00	states/eV per cell

a b c (Å): 7.2562 7.2562 9.2828
angles (deg): 90.00 90.00 111.69
Fractional coordinates of all 44 atoms:
1 K 0.0000 0.0000 0.0000
2 K 0.0000 0.0000 0.5000
3 Y 0.3695 0.6305 0.7500
4 Y 0.6305 0.3695 0.2500
5 B 0.2512 0.2670 0.7500
6 B 0.2603 0.7397 0.5285
7 B 0.2603 0.7397 0.9715
8 B 0.2670 0.2512 0.2500
9 B 0.7330 0.7488 0.7500
10 B 0.7397 0.2603 0.0285
11 B 0.7397 0.2603 0.4715
12 B 0.7488 0.7330 0.2500
13 H 0.0881 0.1989 0.2500
14 H 0.1089 0.3235 0.7500
15 H 0.1170 0.6360 0.6035
16 H 0.1170 0.6360 0.8965
17 H 0.1989 0.0881 0.7500
18 H 0.2102 0.7898 0.0845
19 H 0.2102 0.7898 0.4155
20 H 0.3235 0.1089 0.2500
21 H 0.3386 0.3547 0.1426
22 H 0.3386 0.3547 0.3574
23 H 0.3547 0.3386 0.6426
24 H 0.3547 0.3386 0.8574
25 H 0.3624 0.6376 0.5051
26 H 0.3624 0.6376 0.9949
27 H 0.3640 0.8830 0.6035
28 H 0.3640 0.8830 0.8965
29 H 0.6360 0.1170 0.1035
30 H 0.6360 0.1170 0.3965
31 H 0.6376 0.3624 0.0051
32 H 0.6376 0.3624 0.4949
33 H 0.6453 0.6614 0.1426
34 H 0.6453 0.6614 0.3574
35 H 0.6614 0.6453 0.6426
36 H 0.6614 0.6453 0.8574
37 H 0.6765 0.8911 0.7500
38 H 0.7898 0.2102 0.5845
39 H 0.7898 0.2102 0.9155
40 H 0.8011 0.9119 0.2500
41 H 0.8830 0.3640 0.1035
42 H 0.8830 0.3640 0.3965
43 H 0.8911 0.6765 0.2500
44 H 0.9119 0.8011 0.7500

---

A relaxed structure of Fe2CuHg. Source: Alexandria, functional PBEsol.

ΔE to the lowest computed polymorph	0	meV/atom
density of states at the Fermi level	1.91	states/eV per cell
DFT formation energy	0.330	eV per atom

a b c (Å): 4.5288 4.5288 4.5288
angles (deg): 129.95 129.95 73.49
Fractional coordinates of all 4 atoms:
1 Fe 0.0000 0.0000 0.0000
2 Fe 0.7500 0.2500 0.5000
3 Cu 0.2500 0.7500 0.5000
4 Hg 0.5000 0.5000 0.0000

---

A relaxed structure of SrTaRe2. Source: Alexandria, functional PBEsol.

ΔE to the lowest computed polymorph	0	meV/atom
density of states at the Fermi level	3.30	states/eV per cell
DFT formation energy	0.749	eV per atom

a b c (Å): 9.3643 9.3643 9.3643
angles (deg): 18.85 18.85 18.85
Fractional coordinates of all 4 atoms:
1 Sr 0.0000 0.0000 0.0000
2 Ta 0.5000 0.5000 0.5000
3 Re 0.2380 0.2380 0.2380
4 Re 0.7620 0.7620 0.7620

---

A relaxed structure of YScBe2. Source: Alexandria, functional PBEsol.

ΔE to the lowest computed polymorph	456	meV/atom
density of states at the Fermi level	5.66	states/eV per cell
DFT formation energy	0.507	eV per atom

a b c (Å): 4.5890 4.5890 4.5890
angles (deg): 60.00 60.00 60.00
Fractional coordinates of all 4 atoms:
1 Y 0.0000 0.0000 0.0000
2 Sc 0.2500 0.2500 0.2500
3 Be 0.5000 0.5000 0.5000
4 Be 0.7500 0.7500 0.7500

---

A relaxed structure of MgRh3. Source: Alexandria, functional PBEsol.

density of states at the Fermi level	3.90	states/eV per cell
DFT formation energy	-0.177	eV per atom

a b c (Å): 4.6937 4.6937 4.6461
angles (deg): 99.69 99.69 33.90
Fractional coordinates of all 4 atoms:
1 Mg 0.0000 0.0000 0.0000
2 Rh 0.2440 0.2440 0.7405
3 Rh 0.5000 0.5000 0.5000
4 Rh 0.7560 0.7560 0.2595

---

A relaxed structure of Ba2ReGeIr. Source: Alexandria, functional PBEsol.

density of states at the Fermi level	4.70	states/eV per cell
DFT formation energy	1.204	eV per atom

a b c (Å): 6.0901 6.0901 4.5034
angles (deg): 90.00 90.00 90.00
Fractional coordinates of all 5 atoms:
1 Ba 0.0000 0.5000 0.0000
2 Ba 0.5000 0.0000 0.0000
3 Re 0.0000 0.0000 0.5000
4 Ge 0.5000 0.5000 0.0000
5 Ir 0.5000 0.5000 0.5000

---

A relaxed structure of CaMnSi2. Source: Alexandria, functional PBEsol.

energy relative to the elements, uncorrected	0.127	eV per atom
density of states at the Fermi level	1.91	states/eV per cell

a b c (Å): 5.0046 5.0046 2.8093
angles (deg): 90.00 90.00 110.36
Fractional coordinates of all 4 atoms:
1 Ca 0.0000 0.0000 0.0000
2 Mn 0.5000 0.5000 0.0000
3 Si 0.0000 0.5000 0.5000
4 Si 0.5000 0.0000 0.5000

---

A relaxed structure of AsOsCl2. Source: Alexandria, functional PBEsol.

energy relative to the elements, uncorrected	0.297	eV per atom
ΔE to the lowest computed polymorph	151	meV/atom
density of states at the Fermi level	2.39	states/eV per cell

a b c (Å): 6.4174 6.4174 6.4174
angles (deg): 97.67 97.67 137.15
Fractional coordinates of all 8 atoms:
1 As 0.0000 0.0000 0.0000
2 As 0.7500 0.2500 0.5000
3 Os 0.2500 0.7500 0.5000
4 Os 0.5000 0.5000 0.0000
5 Cl 0.2542 0.1250 0.6292
6 Cl 0.3750 0.7458 0.8708
7 Cl 0.4958 0.6250 0.3708
8 Cl 0.8750 0.5042 0.1292

---

A relaxed structure of Nb4SiTe4. Source: Alexandria, functional PBEsol.

energy relative to the elements, uncorrected	-0.632	eV per atom
density of states at the Fermi level	7.50	states/eV per cell

a b c (Å): 10.5580 18.1252 4.8225
angles (deg): 90.00 90.00 90.00
Fractional coordinates of all 36 atoms:
1 Nb 0.0631 0.1217 0.0000
2 Nb 0.1039 0.8883 0.5000
3 Nb 0.1929 0.0609 0.5000
4 Nb 0.2102 0.9640 0.0000
5 Nb 0.2898 0.4640 0.0000
6 Nb 0.3071 0.5609 0.5000
7 Nb 0.3961 0.3883 0.5000
8 Nb 0.4369 0.6217 0.0000
9 Nb 0.5631 0.3783 0.0000
10 Nb 0.6039 0.6117 0.5000
11 Nb 0.6929 0.4391 0.5000
12 Nb 0.7102 0.5360 0.0000
13 Nb 0.7898 0.0360 0.0000
14 Nb 0.8071 0.9391 0.5000
15 Nb 0.8961 0.1117 0.5000
16 Nb 0.9369 0.8783 0.0000
17 Si 0.0000 0.0000 0.2500
18 Si 0.0000 0.0000 0.7500
19 Si 0.5000 0.5000 0.2500
20 Si 0.5000 0.5000 0.7500
21 Te 0.1059 0.2082 0.5000
22 Te 0.1418 0.4375 0.5000
23 Te 0.1700 0.6037 0.0000
24 Te 0.1759 0.8097 0.0000
25 Te 0.3241 0.3097 0.0000
26 Te 0.3300 0.1037 0.0000
27 Te 0.3582 0.9375 0.5000
28 Te 0.3941 0.7082 0.5000
29 Te 0.6059 0.2918 0.5000
30 Te 0.6418 0.0625 0.5000
31 Te 0.6700 0.8963 0.0000
32 Te 0.6759 0.6903 0.0000
33 Te 0.8241 0.1903 0.0000
34 Te 0.8300 0.3963 0.0000
35 Te 0.8582 0.5625 0.5000
36 Te 0.8941 0.7918 0.5000

---

A relaxed structure of Os2RuCl. Source: Alexandria, functional PBEsol.

energy relative to the elements, uncorrected	0.740	eV per atom
ΔE to the lowest computed polymorph	295	meV/atom
density of states at the Fermi level	3.32	states/eV per cell

a b c (Å): 5.1409 5.1409 4.2258
angles (deg): 91.08 91.08 31.07
Fractional coordinates of all 4 atoms:
1 Os 0.2152 0.2152 0.2373
2 Os 0.7848 0.7848 0.7627
3 Ru 0.5000 0.5000 0.0000
4 Cl 0.0000 0.0000 0.5000

---

How do the records compare in magnetization? In the order shown, they have 0.00 0.00 0.00 1.23 0.00 0.26 0.00 0.74 0.85 0.00 0.00 0.00 μB/atom.